VASP calculation (meta-GGA SCAN) on a PBEsol-optimized structure of YRu2W.

Output
As for the crystal system: tetragonal. The excess energy over the best structure of this formula in the dataset comes out at 0 meV/atom. The value obtained for the formation enthalpy at 0 K is -0.14 eV/atom. Its space group is P4/mmm. The density comes out at 11.69 g/cm³.

```
data_YRu2W
_space_group_name_H-M_alt 'P 1'
_space_group_IT_number 1
_cell_length_a 3.074
_cell_length_b 3.083
_cell_length_c 7.751
_cell_angle_alpha 90.00
_cell_angle_beta 113.37
_cell_angle_gamma 90.00
loop_
_space_group_symop_operation_xyz
'x,y,z'
loop_
_atom_site_label
_atom_site_type_symbol
_atom_site_fract_x
_atom_site_fract_y
_atom_site_fract_z
_atom_site_occupancy
Ru1 Ru 0.792 0.000 0.792 1
Ru2 Ru 0.208 0.000 0.208 1
W1 W 0.500 0.500 0.000 1
Y1 Y 0.000 0.500 0.500 1
```

***

VASP calculation (meta-GGA SCAN) on a PBEsol-optimized structure of NbSnHgC2.

Output
As for the crystal system: tetragonal. The value obtained for the formation enthalpy at 0 K is 2.60 eV/atom. Its space group is P4/mmm. The density comes out at 7.71 g/cm³.

```
data_NbSnHgC2
_space_group_name_H-M_alt 'P 1'
_space_group_IT_number 1
_cell_length_a 4.120
_cell_length_b 4.120
_cell_length_c 5.532
_cell_angle_alpha 90.00
_cell_angle_beta 90.00
_cell_angle_gamma 90.00
loop_
_space_group_symop_operation_xyz
'x,y,z'
loop_
_atom_site_label
_atom_site_type_symbol
_atom_site_fract_x
_atom_site_fract_y
_atom_site_fract_z
_atom_site_occupancy
C1 C 0.000 0.500 0.000 1
C2 C 0.500 0.000 0.000 1
Nb1 Nb 0.000 0.000 0.500 1
Hg1 Hg 0.000 0.000 0.000 1
Sn1 Sn 0.500 0.500 0.500 1
```

***

VASP calculation (meta-GGA SCAN) on a PBEsol-optimized structure of NaBeSe3.

Output
As for the crystal system: cubic. The uncorrected formation energy is 1.119 eV/atom. Its space group is Pm-3m. The density comes out at 3.64 g/cm³.

```
data_NaBeSe3
_space_group_name_H-M_alt 'P 1'
_space_group_IT_number 1
_cell_length_a 4.968
_cell_length_b 4.968
_cell_length_c 4.968
_cell_angle_alpha 90.00
_cell_angle_beta 90.00
_cell_angle_gamma 90.00
loop_
_space_group_symop_operation_xyz
'x,y,z'
loop_
_atom_site_label
_atom_site_type_symbol
_atom_site_fract_x
_atom_site_fract_y
_atom_site_fract_z
_atom_site_occupancy
Na1 Na 0.000 0.000 0.000 1
Se1 Se 0.000 0.500 0.000 1
Se2 Se 0.000 0.000 0.500 1
Se3 Se 0.500 0.000 0.000 1
Be1 Be 0.500 0.500 0.500 1
```

***

VASP calculation (meta-GGA SCAN) on a PBEsol-optimized structure of ScTiB2H.

Output
As for the crystal system: tetragonal. The total energy comes out at -9.512 eV per atom. Its space group is P4/mmm. The density comes out at 3.28 g/cm³.

```
data_ScTiB2H
_space_group_name_H-M_alt 'P 1'
_space_group_IT_number 1
_cell_length_a 3.455
_cell_length_b 4.113
_cell_length_c 4.113
_cell_angle_alpha 90.00
_cell_angle_beta 90.00
_cell_angle_gamma 90.00
loop_
_space_group_symop_operation_xyz
'x,y,z'
loop_
_atom_site_label
_atom_site_type_symbol
_atom_site_fract_x
_atom_site_fract_y
_atom_site_fract_z
_atom_site_occupancy
Sc1 Sc 0.500 0.500 0.500 1
H1 H 0.500 0.000 0.000 1
B1 B 0.000 0.000 0.500 1
B2 B 0.000 0.500 0.000 1
Ti1 Ti 0.000 0.000 0.000 1
```

***

VASP calculation (meta-GGA SCAN) on a PBEsol-optimized structure of KPtO2F.

Output
As for the crystal system: tetragonal. The uncorrected formation energy is 0.881 eV/atom. Its space group is P4/mmm. The density comes out at 5.38 g/cm³.

```
data_KPtO2F
_space_group_name_H-M_alt 'P 1'
_space_group_IT_number 1
_cell_length_a 4.455
_cell_length_b 4.455
_cell_length_c 4.438
_cell_angle_alpha 90.00
_cell_angle_beta 90.00
_cell_angle_gamma 90.00
loop_
_space_group_symop_operation_xyz
'x,y,z'
loop_
_atom_site_label
_atom_site_type_symbol
_atom_site_fract_x
_atom_site_fract_y
_atom_site_fract_z
_atom_site_occupancy
K1 K 0.000 0.000 0.000 1
O1 O 0.000 0.500 0.000 1
O2 O 0.500 0.000 0.000 1
Pt1 Pt 0.500 0.500 0.500 1
F1 F 0.000 0.000 0.500 1
```

***

VASP calculation (meta-GGA SCAN) on a PBEsol-optimized structure of HfAgP2Se.

Output
As for the crystal system: tetragonal. The uncorrected formation energy is 0.780 eV/atom. Its space group is P4/mmm. The density comes out at 5.68 g/cm³.

```
data_HfAgP2Se
_space_group_name_H-M_alt 'P 1'
_space_group_IT_number 1
_cell_length_a 4.806
_cell_length_b 4.806
_cell_length_c 5.409
_cell_angle_alpha 90.00
_cell_angle_beta 90.00
_cell_angle_gamma 90.00
loop_
_space_group_symop_operation_xyz
'x,y,z'
loop_
_atom_site_label
_atom_site_type_symbol
_atom_site_fract_x
_atom_site_fract_y
_atom_site_fract_z
_atom_site_occupancy
P1 P 0.000 0.500 0.000 1
P2 P 0.500 0.000 0.000 1
Hf1 Hf 0.000 0.000 0.000 1
Se1 Se 0.500 0.500 0.500 1
Ag1 Ag 0.000 0.000 0.500 1
```